The following is a DFT calculation (PBE) of an optimized crystal structure of Cs3AgSe4.

Values from the calculation:
Crystal system ... orthorhombic
N(E_F) ... 0.275 states/eV/atom
E_form (uncorrected) ... -741 meV per atom

Unit cell a=5.7884 b=5.7240 c=10.2209 alpha=106.26 beta=106.45 gamma=90.00
Closest atoms and distances in Å follow each position.
Fractional positions:
Ag: 0.5000 0.0000 0.0000  4 Se 2.65
Cs: 0.8027 0.8027 0.6054  6 Se 3.63-3.76
Cs: 0.1973 0.1973 0.3946  6 Se 3.63-3.76
Cs: 0.0000 0.5000 0.0000  8 Se 3.84, 4 Ag 4.07
Se: 0.6148 0.3837 0.2295  1 Se 2.65, 1 Ag 2.65
Se: 0.3852 0.1542 0.7705  1 Se 2.65, 1 Ag 2.65
Se: 0.6148 0.8458 0.2295  1 Se 2.65, 1 Ag 2.65
Se: 0.3852 0.6163 0.7705  1 Se 2.65, 1 Ag 2.65

The following is a DFT calculation (PBE) of an optimized crystal structure of CsAgSe.

Values from the calculation:
Crystal system ... hexagonal
N(E_F) ... 0.046 states/eV/atom
E_form (uncorrected) ... -693 meV per atom

Unit cell a=5.4531 b=4.6230 c=4.6230 alpha=120.00 beta=90.00 gamma=90.00
Closest atoms and distances in Å follow each position.
Fractional positions:
Cs: 0.6666 0.6667 0.3333  6 Ag 3.81-3.82, 6 Se 3.81-3.82
Ag: 0.1667 0.3333 0.6667  3 Se 2.67
Se: 0.1667 0.0000 0.0000  3 Ag 2.67

The following is a DFT calculation (PBE) of an optimized crystal structure of Cs8Ag2Se.

Values from the calculation:
Crystal system ... monoclinic
N(E_F) ... 0.585 states/eV/atom
E_form (uncorrected) ... -251 meV per atom

Unit cell a=5.2521 b=10.8403 c=15.0727 alpha=88.87 beta=100.03 gamma=90.00
Closest atoms and distances in Å follow each position.
Fractional positions:
Cs: 0.9906 0.2123 0.9811  2 Se 3.50
Cs: 0.3853 0.4965 0.7707  2 Ag 3.87
Cs: 0.7483 0.7394 0.4967  2 Ag 3.96
Cs: 0.6147 0.5035 0.2293  2 Ag 3.87
Cs: 0.6167 0.9996 0.2333  1 Se 3.46
Cs: 0.3833 0.0004 0.7667  1 Se 3.46
Cs: 0.2517 0.2606 0.5033  2 Ag 3.96
Cs: 0.0094 0.7877 0.0189  2 Se 3.50
Se: 0.5000 0.0000 0.0000  6 Cs 3.46-3.50
Ag: 0.8517 0.2524 0.7034  7 Cs 3.87-4.14
Ag: 0.1483 0.7476 0.2966  7 Cs 3.87-4.14

The following is a DFT calculation (PBE) of an optimized crystal structure of CsAg12Se6.

Values from the calculation:
Crystal system ... trigonal
N(E_F) ... 0.118 states/eV/atom
E_form (uncorrected) ... -153 meV per atom

Unit cell a=7.7858 b=7.7858 c=7.7858 alpha=96.83 beta=96.83 gamma=96.83
Closest atoms and distances in Å follow each position.
Fractional positions:
Se: 0.8253 0.8253 0.3881  4 Ag 2.57-2.75
Se: 0.6119 0.1747 0.1747  4 Ag 2.57-2.75
Se: 0.1747 0.6119 0.1747  4 Ag 2.57-2.75
Se: 0.3881 0.8253 0.8253  4 Ag 2.57-2.75
Se: 0.8253 0.3881 0.8253  4 Ag 2.57-2.75
Se: 0.1747 0.1747 0.6119  4 Ag 2.57-2.75
Ag: 0.1994 0.8006 0.5000  4 Se 2.75-2.97, 2 Ag 3.01
Ag: 0.5907 0.5907 0.8640  2 Se 2.57
Ag: 0.8640 0.5907 0.5907  2 Se 2.57
Ag: 0.5000 0.8006 0.1994  4 Se 2.75-2.97, 2 Ag 3.01
Ag: 0.1994 0.5000 0.8006  4 Se 2.75-2.97, 2 Ag 3.01
Ag: 0.8006 0.1994 0.5000  4 Se 2.75-2.97, 2 Ag 3.01
Ag: 0.4093 0.1360 0.4093  2 Se 2.57
Ag: 0.1360 0.4093 0.4093  2 Se 2.57
Ag: 0.8006 0.5000 0.1994  4 Se 2.75-2.97, 2 Ag 3.01
Ag: 0.4093 0.4093 0.1360  2 Se 2.57
Ag: 0.5000 0.1994 0.8006  4 Se 2.75-2.97, 2 Ag 3.01
Ag: 0.5907 0.8640 0.5907  2 Se 2.57
Cs: 0.0000 0.0000 0.0000  6 Se 3.79, 6 Ag 4.17

Q: The highest E_form (uncorrected) belongs to which entry?
A: CsAg12Se6